No. 1
Entry from Alexandria via LeMat-Bulk: crystalline KSrTa2I at its relaxed geometry (GGA-PBEsol).

a b c (Å): 4.8175 4.8175 6.0813
angles (deg): 90.00 90.00 90.00
Last column: nearest neighbours and their distance in Å.
Positions (direct):
Ta 0.5000 0.0000 0.0000  2 K 2.41
Ta 0.0000 0.5000 0.0000  2 K 2.41
Sr 0.5000 0.5000 0.5000  4 I 3.41
I 0.0000 0.0000 0.5000  2 K 3.04
K 0.0000 0.0000 0.0000  4 Ta 2.41

## Properties
Space-group type = No. 123
Density of states at the Fermi level = 6.88 states/eV/f.u.

No. 2
Entry from Alexandria via LeMat-Bulk: crystalline K2TcI6 at its relaxed geometry (GGA-PBEsol).

a b c (Å): 7.5257 7.7325 11.4815
angles (deg): 90.00 88.87 90.00
Last column: nearest neighbours and their distance in Å.
Positions (direct):
K 0.5341 0.9354 0.7498  8 I 3.49-3.84
K 0.0341 0.5646 0.2498  8 I 3.49-3.84
K 0.4659 0.0646 0.2502  8 I 3.49-3.84
K 0.9659 0.4354 0.7502  8 I 3.49-3.84
I 0.2026 0.3066 0.4715  1 Tc 2.72
I 0.3060 0.7945 0.4827  1 Tc 2.71
I 0.8060 0.7055 0.9827  1 Tc 2.71
I 0.5592 0.5083 0.2657  1 Tc 2.72
I 0.0592 0.9917 0.7657  1 Tc 2.72
I 0.6940 0.2055 0.5173  1 Tc 2.71
I 0.1940 0.2945 0.0173  1 Tc 2.71
I 0.4408 0.4917 0.7343  1 Tc 2.72
I 0.7026 0.1934 0.9715  1 Tc 2.72
I 0.2974 0.8066 0.0285  1 Tc 2.72
I 0.9408 0.0083 0.2343  1 Tc 2.72
I 0.7974 0.6934 0.5285  1 Tc 2.72
Tc 0.5000 0.5000 0.5000  6 I 2.71-2.72
Tc 0.0000 0.0000 0.0000  6 I 2.71-2.72

## Properties
Space-group type = No. 14

No. 3
Entry from Alexandria via LeMat-Bulk: crystalline K2Te2I at its relaxed geometry (GGA-PBEsol).

a b c (Å): 6.5872 6.7383 6.5872
angles (deg): 60.74 90.00 119.26
Last column: nearest neighbours and their distance in Å.
Positions (direct):
Te 0.6389 0.2779 0.3611  1 Te 2.71
Te 0.3611 0.7221 0.6389  1 Te 2.71
K 0.7500 0.5000 0.7500  4 Te 3.47
K 0.2500 0.5000 0.2500  4 Te 3.47
I 0.0000 0.0000 0.0000  2 Te 3.52

## Properties
Space-group type = No. 139
Density of states at the Fermi level = 4.35 states/eV/f.u.

No. 4
Entry from Alexandria via LeMat-Bulk: crystalline KTeI3 at its relaxed geometry (GGA-PBEsol).

a b c (Å): 6.0836 6.0836 6.0836
angles (deg): 90.00 90.00 90.00
Last column: nearest neighbours and their distance in Å.
Positions (direct):
I 0.5000 0.0000 0.0000  2 Te 3.04
I 0.0000 0.5000 0.0000  2 Te 3.04
I 0.0000 0.0000 0.5000  2 Te 3.04
K 0.5000 0.5000 0.5000  12 I 4.30
Te 0.0000 0.0000 0.0000  6 I 3.04

## Properties
Space-group type = No. 221
Density of states at the Fermi level = 2.88 states/eV/f.u.

Number 1: formation energy from raw total energies 2.105 eV per atom, total magnetic moment 1.28 μB per formula unit. Number 2: formation energy from raw total energies -0.681 eV per atom, total magnetic moment 2.93 μB per formula unit. Number 3: formation energy from raw total energies -0.701 eV per atom, total magnetic moment 1.05 μB per formula unit. Number 4: formation energy from raw total energies -0.570 eV per atom, total magnetic moment 0.00 μB per formula unit.